Record 1
# Zr2TeCl | the Alexandria database | PBE | relaxed
# spin magnetization = 0.0000 μB/atom
# final energy = -6.279 eV per atom
# ΔE to the lowest computed polymorph = 105 meV/atom
# raw formation energy = -757 meV per atom
data_Zr2TeCl
_symmetry_space_group_name_H-M 'C m m 2'
_symmetry_Int_Tables_number 35
_cell_length_a 3.877
_cell_length_b 5.362
_cell_length_c 10.315
_cell_angle_alpha 90.00
_cell_angle_beta 90.00
_cell_angle_gamma 90.00
loop_
_symmetry_equiv_pos_as_xyz
'x,y,z'
'-x,-y,z'
'-x,y,z'
'x,-y,z'
'x+1/2,y+1/2,z'
'-x+1/2,-y+1/2,z'
'-x+1/2,y+1/2,z'
'x+1/2,-y+1/2,z'
loop_
_atom_site_label
_atom_site_type_symbol
_atom_site_fract_x
_atom_site_fract_y
_atom_site_fract_z
_atom_site_occupancy
Zr1 Zr 0.000 0.000 0.000 1
Zr2 Zr 0.000 0.500 0.230 1
Te1 Te 0.000 0.000 0.433 1
Cl1 Cl 0.000 0.500 0.827 1

Record 2
# Np2In3Ga3 | the Alexandria database | PBE | relaxed
# spin magnetization = 1.0238 μB/atom
# final energy = -5.465 eV per atom
# energy of formation = -0.0675 eV/atom
data_Np2In3Ga3
_symmetry_space_group_name_H-M 'P m m m'
_symmetry_Int_Tables_number 47
_cell_length_a 4.307
_cell_length_b 4.502
_cell_length_c 9.203
_cell_angle_alpha 90.00
_cell_angle_beta 90.00
_cell_angle_gamma 90.00
loop_
_symmetry_equiv_pos_as_xyz
'x,y,z'
'-x,-y,-z'
'-x,-y,z'
'x,y,-z'
'x,-y,-z'
'-x,y,z'
'-x,y,-z'
'x,-y,z'
loop_
_atom_site_label
_atom_site_type_symbol
_atom_site_fract_x
_atom_site_fract_y
_atom_site_fract_z
_atom_site_occupancy
Np1 Np 0.000 0.000 0.242 1
In1 In 0.000 0.500 0.000 1
In2 In 0.000 0.500 0.500 1
In3 In 0.500 0.000 0.500 1
Ga1 Ga 0.500 0.000 0.000 1
Ga2 Ga 0.500 0.500 0.244 1

> Number 1 is which compound?

Zr2TeCl